The following is a DFT calculation (PBEsol) of crystalline Sr2PtF2 at its relaxed geometry.

Results
Symmetry ... I4/mmm (139)
N(E_F) ... 0.000 states/eV/atom

```
5
Lattice="4.801 0.000 0.000 0.000 4.801 0.000 -2.401 -2.401 4.353" Properties=species:S:1:pos:R:3 pbc="T T T"
F 2.401 2.401 1.450
Sr 0.000 2.401 2.177
Pt 0.000 0.000 0.000
F 0.000 0.000 2.904
Sr 2.401 0.000 2.177
```

---

The following is a DFT calculation (PBEsol) of crystalline TaPtF2 at its relaxed geometry.

Results
Symmetry ... Fm-3m (225)
N(E_F) ... 0.390 states/eV/atom

```
4
Lattice="4.130 0.000 0.000 2.065 3.577 0.000 2.065 1.192 3.372" Properties=species:S:1:pos:R:3 pbc="T T T"
F 6.195 3.577 2.529
Ta 0.000 0.000 0.000
F 2.065 1.192 0.843
Pt 4.130 2.384 1.686
```

---

The following is a DFT calculation (PBEsol) of crystalline TiPt3F at its relaxed geometry.

Results
Symmetry ... Pm-3m (221)
N(E_F) ... 0.596 states/eV/atom

```
5
Lattice="4.605 0.000 0.000 0.000 4.605 0.000 0.000 0.000 4.605" Properties=species:S:1:pos:R:3 pbc="T T T"
Pt 0.000 0.000 2.303
Pt 0.000 2.303 0.000
F 2.303 2.303 2.303
Ti 0.000 0.000 0.000
Pt 2.303 0.000 0.000
```

---

We obtain calculated total energy values of -5.096, -6.220, -5.417 eV/atom for the records listed above, in that order.
We obtain theoretical density values of 6.76, 13.80, 11.09 g cm⁻³ for the records listed above, in that order.
We obtain ΔE_f (raw) values of -11.0, -1.5, 4.1 eV per formula unit for the records listed above, in that order.